No. 1
# NpU3S4 PBE-GGA optimized geometry
# VASP energy   -9.287 eV/atom
data_NpU3S4
_chemical_formula_sum 'Np1 U3 S4'
_cell_length_a 5.464
_cell_length_b 5.464
_cell_length_c 5.464
_cell_angle_alpha 90.00
_cell_angle_beta 90.00
_cell_angle_gamma 90.00
_symmetry_space_group_name_H-M 'P m -3 m'
_symmetry_Int_Tables_number 221
_symmetry_space_group_name_Hall '-P 4 2 3'
loop_
_atom_site_label
_atom_site_type_symbol
_atom_site_fract_x
_atom_site_fract_y
_atom_site_fract_z
Np1 Np 0.000 0.000 0.000
U1 U 0.000 0.500 0.500
S1 S 0.000 0.000 0.500
S2 S 0.500 0.500 0.500

No. 2
# Na4TlSn5 PBE-GGA optimized geometry
# Energy of formation from the pure elements   -0.1338 eV/atom
data_Na4TlSn5
_chemical_formula_sum 'Na4 Tl1 Sn5'
_cell_length_a 3.201
_cell_length_b 3.201
_cell_length_c 26.234
_cell_angle_alpha 90.00
_cell_angle_beta 90.00
_cell_angle_gamma 90.00
_symmetry_space_group_name_H-M 'P 4/m m m'
_symmetry_Int_Tables_number 123
_symmetry_space_group_name_Hall '-P 4 2'
loop_
_atom_site_label
_atom_site_type_symbol
_atom_site_fract_x
_atom_site_fract_y
_atom_site_fract_z
Na1 Na 0.000 0.000 0.097
Na2 Na 0.000 0.000 0.290
Tl1 Tl 0.000 0.000 0.500
Sn1 Sn 0.500 0.500 0.000
Sn2 Sn 0.500 0.500 0.194
Sn3 Sn 0.500 0.500 0.389

No. 3
# LaTa2Mn PBE-GGA optimized geometry
# Polymorph energy (0 for the lowest one)   0.52 eV/f.u.
# Energy of formation from the pure elements   0.3881 eV/atom
data_LaTa2Mn
_chemical_formula_sum 'La1 Ta2 Mn1'
_cell_length_a 3.097
_cell_length_b 4.121
_cell_length_c 6.742
_cell_angle_alpha 90.00
_cell_angle_beta 100.53
_cell_angle_gamma 90.00
_symmetry_space_group_name_H-M 'P 1 m 1'
_symmetry_Int_Tables_number 6
loop_
_symmetry_equiv_pos_as_xyz
'x,y,z'
'x,-y,z'
loop_
_atom_site_label
_atom_site_type_symbol
_atom_site_fract_x
_atom_site_fract_y
_atom_site_fract_z
La1 La 0.000 0.000 0.000
Ta1 Ta 0.371 0.500 0.646
Ta2 Ta 0.839 0.000 0.448
Mn1 Mn 0.453 0.500 0.307

No. 4
# Nb2AlN PBE-GGA optimized geometry
# VASP energy   -7.376 eV/atom
data_Nb2AlN
_chemical_formula_sum 'Nb8 Al4 N4'
_cell_length_a 6.146
_cell_length_b 6.146
_cell_length_c 6.146
_cell_angle_alpha 90.00
_cell_angle_beta 90.00
_cell_angle_gamma 90.00
_symmetry_space_group_name_H-M 'F m -3 m'
_symmetry_Int_Tables_number 225
_symmetry_space_group_name_Hall '-F 4 2 3'
loop_
_atom_site_label
_atom_site_type_symbol
_atom_site_fract_x
_atom_site_fract_y
_atom_site_fract_z
Nb1 Nb 0.250 0.250 0.250
Al1 Al 0.000 0.000 0.000
N1 N 0.000 0.000 0.500

No. 5
# Sm2AgS PBE-GGA optimized geometry
# Polymorph energy (0 for the lowest one)   0.31 eV/f.u.
data_Sm2AgS
_chemical_formula_sum 'Sm6 Ag3 S3'
_cell_length_a 4.0412
_cell_length_b 4.0412
_cell_length_c 21.6867
_cell_angle_alpha 90.00
_cell_angle_beta 90.00
_cell_angle_gamma 120.00
_symmetry_space_group_name_H-M 'R -3 m'
_symmetry_Int_Tables_number 166
_symmetry_space_group_name_Hall '-R 3 2"'
loop_
_atom_site_label
_atom_site_type_symbol
_atom_site_fract_x
_atom_site_fract_y
_atom_site_fract_z
Sm1 Sm 0.0000 0.0000 0.2406
Ag1 Ag 0.0000 0.0000 0.0000
S1 S 0.0000 0.0000 0.5000

No. 6
# NaHoGeO4 PBE-GGA optimized geometry
# Polymorph energy (0 for the lowest one)   1.08 eV/f.u.
data_NaHoGeO4
_chemical_formula_sum 'Na4 Ho4 Ge4 O16'
_cell_length_a 6.019
_cell_length_b 6.768
_cell_length_c 8.816
_cell_angle_alpha 90.00
_cell_angle_beta 90.00
_cell_angle_gamma 90.00
_symmetry_space_group_name_H-M 'I m m a'
_symmetry_Int_Tables_number 74
_symmetry_space_group_name_Hall '-I 2b 2'
loop_
_atom_site_label
_atom_site_type_symbol
_atom_site_fract_x
_atom_site_fract_y
_atom_site_fract_z
Na1 Na 0.250 0.250 0.250
Ho1 Ho 0.000 0.000 0.000
Ge1 Ge 0.000 0.250 0.634
O1 O 0.000 0.031 0.745
O2 O 0.245 0.250 0.509

No. 7
# PtAu2Br8 PBE-GGA optimized geometry
# Polymorph energy (0 for the lowest one)   0.36 eV/f.u.
data_PtAu2Br8
_chemical_formula_sum 'Pt2 Au4 Br16'
_cell_length_a 12.123
_cell_length_b 8.854
_cell_length_c 7.078
_cell_angle_alpha 90.00
_cell_angle_beta 103.75
_cell_angle_gamma 90.00
_symmetry_space_group_name_H-M 'C 1 2/m 1'
_symmetry_Int_Tables_number 12
loop_
_symmetry_equiv_pos_as_xyz
'x,y,z'
'-x,-y,-z'
'-x,y,-z'
'x,-y,z'
'x+1/2,y+1/2,z'
'-x+1/2,-y+1/2,-z'
'-x+1/2,y+1/2,-z'
'x+1/2,-y+1/2,z'
loop_
_atom_site_label
_atom_site_type_symbol
_atom_site_fract_x
_atom_site_fract_y
_atom_site_fract_z
Pt1 Pt 0.000 0.000 0.000
Au1 Au 0.237 0.000 0.755
Br1 Br 0.072 0.500 0.288
Br2 Br 0.085 0.189 0.813
Br3 Br 0.181 0.000 0.264

No. 8
# CdInAg2 PBE-GGA optimized geometry
# Energy of formation from the pure elements   0.0174 eV/atom
data_CdInAg2
_chemical_formula_sum 'Cd2 In2 Ag4'
_cell_length_a 9.825
_cell_length_b 3.077
_cell_length_c 5.453
_cell_angle_alpha 90.00
_cell_angle_beta 100.10
_cell_angle_gamma 90.00
_symmetry_space_group_name_H-M 'C 1 2/m 1'
_symmetry_Int_Tables_number 12
loop_
_symmetry_equiv_pos_as_xyz
'x,y,z'
'-x,-y,-z'
'-x,y,-z'
'x,-y,z'
'x+1/2,y+1/2,z'
'-x+1/2,-y+1/2,-z'
'-x+1/2,y+1/2,-z'
'x+1/2,-y+1/2,z'
loop_
_atom_site_label
_atom_site_type_symbol
_atom_site_fract_x
_atom_site_fract_y
_atom_site_fract_z
Cd1 Cd 0.000 0.000 0.000
In1 In 0.000 0.500 0.500
Ag1 Ag 0.249 0.500 0.248

No. 9
# La2ZnS4 PBE-GGA optimized geometry
# VASP energy   -5.665 eV/atom
data_La2ZnS4
_chemical_formula_sum 'La4 Zn2 S8'
_cell_length_a 6.595
_cell_length_b 6.650
_cell_length_c 8.014
_cell_angle_alpha 90.00
_cell_angle_beta 107.92
_cell_angle_gamma 90.00
_symmetry_space_group_name_H-M 'P 1 21/m 1'
_symmetry_Int_Tables_number 11
loop_
_symmetry_equiv_pos_as_xyz
'x,y,z'
'-x,-y,-z'
'-x,y+1/2,-z'
'x,-y+1/2,z'
loop_
_atom_site_label
_atom_site_type_symbol
_atom_site_fract_x
_atom_site_fract_y
_atom_site_fract_z
La1 La 0.221 0.250 0.055
La2 La 0.248 0.250 0.562
Zn1 Zn 0.244 0.750 0.808
S1 S 0.006 0.508 0.257
S2 S 0.443 0.750 0.102
S3 S 0.445 0.750 0.617

No. 10
# Pr4Nd2Sm3 PBE-GGA optimized geometry
# Polymorph energy (0 for the lowest one)   0.00 eV/f.u.
# Energy of formation from the pure elements   0.0149 eV/atom
data_Pr4Nd2Sm3
_chemical_formula_sum 'Pr8 Nd4 Sm6'
_cell_length_a 11.647
_cell_length_b 5.208
_cell_length_c 11.046
_cell_angle_alpha 90.00
_cell_angle_beta 108.41
_cell_angle_gamma 90.00
_symmetry_space_group_name_H-M 'C 1 2/m 1'
_symmetry_Int_Tables_number 12
loop_
_symmetry_equiv_pos_as_xyz
'x,y,z'
'-x,-y,-z'
'-x,y,-z'
'x,-y,z'
'x+1/2,y+1/2,z'
'-x+1/2,-y+1/2,-z'
'-x+1/2,y+1/2,-z'
'x+1/2,-y+1/2,z'
loop_
_atom_site_label
_atom_site_type_symbol
_atom_site_fract_x
_atom_site_fract_y
_atom_site_fract_z
Pr1 Pr 0.001 0.000 0.334
Pr2 Pr 0.166 0.500 0.889
Nd1 Nd 0.167 0.500 0.223
Sm1 Sm 0.000 0.000 0.000
Sm2 Sm 0.166 0.500 0.555

No. 11
# Er3Ge2S PBE-GGA optimized geometry
# VASP energy   -5.711 eV/atom
data_Er3Ge2S
_chemical_formula_sum 'Er6 Ge4 S2'
_cell_length_a 3.946
_cell_length_b 5.721
_cell_length_c 12.359
_cell_angle_alpha 90.00
_cell_angle_beta 90.00
_cell_angle_gamma 90.00
_symmetry_space_group_name_H-M 'I m m m'
_symmetry_Int_Tables_number 71
_symmetry_space_group_name_Hall '-I 2 2'
loop_
_atom_site_label
_atom_site_type_symbol
_atom_site_fract_x
_atom_site_fract_y
_atom_site_fract_z
Er1 Er 0.000 0.000 0.000
Er2 Er 0.000 0.000 0.339
Ge1 Ge 0.000 0.500 0.334
S1 S 0.000 0.500 0.000

No. 12
# Si2OsI PBE-GGA optimized geometry
# Polymorph energy (0 for the lowest one)   0.00 eV/f.u.
data_Si2OsI
_chemical_formula_sum 'Si8 Os4 I4'
_cell_length_a 6.021
_cell_length_b 6.021
_cell_length_c 11.713
_cell_angle_alpha 90.00
_cell_angle_beta 90.00
_cell_angle_gamma 90.00
_symmetry_space_group_name_H-M 'I -4 2 d'
_symmetry_Int_Tables_number 122
_symmetry_space_group_name_Hall 'I -4 2bw'
loop_
_atom_site_label
_atom_site_type_symbol
_atom_site_fract_x
_atom_site_fract_y
_atom_site_fract_z
Si1 Si 0.145 0.250 0.125
Os1 Os 0.000 0.000 0.000
I1 I 0.000 0.000 0.500

No. 13
# RbHfInBi2 PBE-GGA optimized geometry
# Energy of formation from the pure elements   -0.0573 eV/atom
data_RbHfInBi2
_chemical_formula_sum 'Rb1 Hf1 In1 Bi2'
_cell_length_a 5.721
_cell_length_b 5.721
_cell_length_c 5.744
_cell_angle_alpha 90.00
_cell_angle_beta 90.00
_cell_angle_gamma 90.00
_symmetry_space_group_name_H-M 'P 4/m m m'
_symmetry_Int_Tables_number 123
_symmetry_space_group_name_Hall '-P 4 2'
loop_
_atom_site_label
_atom_site_type_symbol
_atom_site_fract_x
_atom_site_fract_y
_atom_site_fract_z
Rb1 Rb 0.000 0.000 0.000
Hf1 Hf 0.500 0.500 0.500
In1 In 0.500 0.500 0.000
Bi1 Bi 0.000 0.500 0.500

No. 14
# CrPdRh PBE-GGA optimized geometry
# Polymorph energy (0 for the lowest one)   0.39 eV/f.u.
# Energy of formation from the pure elements   0.0919 eV/atom
data_CrPdRh
_chemical_formula_sum 'Cr4 Pd4 Rh4'
_cell_length_a 2.667
_cell_length_b 2.667
_cell_length_c 24.113
_cell_angle_alpha 90.00
_cell_angle_beta 90.00
_cell_angle_gamma 90.00
_symmetry_space_group_name_H-M 'I 4/m m m'
_symmetry_Int_Tables_number 139
_symmetry_space_group_name_Hall '-I 4 2'
loop_
_atom_site_label
_atom_site_type_symbol
_atom_site_fract_x
_atom_site_fract_y
_atom_site_fract_z
Cr1 Cr 0.000 0.000 0.212
Pd1 Pd 0.000 0.000 0.054
Rh1 Rh 0.000 0.000 0.359

No. 15
# ReIr3 PBE-GGA optimized geometry
# Polymorph energy (0 for the lowest one)   0.08 eV/f.u.
# Energy of formation from the pure elements   -0.1322 eV/atom
data_ReIr3
_chemical_formula_sum 'Re2 Ir6'
_cell_length_a 5.5292
_cell_length_b 5.5292
_cell_length_c 4.4014
_cell_angle_alpha 90.00
_cell_angle_beta 90.00
_cell_angle_gamma 120.00
_symmetry_space_group_name_H-M 'P 63/m m c'
_symmetry_Int_Tables_number 194
_symmetry_space_group_name_Hall '-P 6c 2c'
loop_
_atom_site_label
_atom_site_type_symbol
_atom_site_fract_x
_atom_site_fract_y
_atom_site_fract_z
Re1 Re 0.3333 0.6667 0.2500
Ir1 Ir 0.1673 0.3346 0.7500

No. 16
# TbSnAu PBE-GGA optimized geometry
# Energy of formation from the pure elements   -0.5867 eV/atom
data_TbSnAu
_chemical_formula_sum 'Tb2 Sn2 Au2'
_cell_length_a 3.558
_cell_length_b 3.558
_cell_length_c 11.518
_cell_angle_alpha 90.00
_cell_angle_beta 90.00
_cell_angle_gamma 90.00
_symmetry_space_group_name_H-M 'I 4 m m'
_symmetry_Int_Tables_number 107
_symmetry_space_group_name_Hall 'I 4 -2'
loop_
_atom_site_label
_atom_site_type_symbol
_atom_site_fract_x
_atom_site_fract_y
_atom_site_fract_z
Tb1 Tb 0.000 0.000 0.000
Sn1 Sn 0.000 0.000 0.302
Au1 Au 0.000 0.000 0.642

No. 17
# ZrSi2TcSe PBE-GGA optimized geometry
# VASP energy   -5.482 eV/atom
data_ZrSi2TcSe
_chemical_formula_sum 'Zr1 Si2 Tc1 Se1'
_cell_length_a 4.682
_cell_length_b 4.682
_cell_length_c 4.886
_cell_angle_alpha 90.00
_cell_angle_beta 90.00
_cell_angle_gamma 90.00
_symmetry_space_group_name_H-M 'P 4/m m m'
_symmetry_Int_Tables_number 123
_symmetry_space_group_name_Hall '-P 4 2'
loop_
_atom_site_label
_atom_site_type_symbol
_atom_site_fract_x
_atom_site_fract_y
_atom_site_fract_z
Zr1 Zr 0.000 0.000 0.000
Si1 Si 0.000 0.500 0.500
Tc1 Tc 0.500 0.500 0.000
Se1 Se 0.000 0.000 0.500

No. 18
# PrHfBr2 PBE-GGA optimized geometry
# VASP energy   -5.108 eV/atom
data_PrHfBr2
_chemical_formula_sum 'Pr3 Hf3 Br6'
_cell_length_a 3.4292
_cell_length_b 3.4292
_cell_length_c 30.5624
_cell_angle_alpha 90.00
_cell_angle_beta 90.00
_cell_angle_gamma 120.00
_symmetry_space_group_name_H-M 'R -3 m'
_symmetry_Int_Tables_number 166
_symmetry_space_group_name_Hall '-R 3 2"'
loop_
_atom_site_label
_atom_site_type_symbol
_atom_site_fract_x
_atom_site_fract_y
_atom_site_fract_z
Pr1 Pr 0.0000 0.0000 0.0000
Hf1 Hf 0.0000 0.0000 0.5000
Br1 Br 0.0000 0.0000 0.1020

No. 19
# BaLaZnAg PBE-GGA optimized geometry
# Energy of formation from the pure elements   -0.1524 eV/atom
data_BaLaZnAg
_chemical_formula_sum 'Ba4 La4 Zn4 Ag4'
_cell_length_a 7.877
_cell_length_b 7.877
_cell_length_c 7.877
_cell_angle_alpha 90.00
_cell_angle_beta 90.00
_cell_angle_gamma 90.00
_symmetry_space_group_name_H-M 'F -4 3 m'
_symmetry_Int_Tables_number 216
_symmetry_space_group_name_Hall 'F -4 2 3'
loop_
_atom_site_label
_atom_site_type_symbol
_atom_site_fract_x
_atom_site_fract_y
_atom_site_fract_z
Ba1 Ba 0.000 0.000 0.000
La1 La 0.000 0.000 0.500
Zn1 Zn 0.250 0.250 0.250
Ag1 Ag 0.250 0.250 0.750